1.
Material: Y5Ho3H12
Method: DFT, PBE-GGA
State: relaxed

a b c (Å): 13.042 13.042 13.042
angles (deg): 90.00 90.00 90.00
Space group Ia-3d (No. 230)
Asymmetric unit:
Y  0.000  0.000  0.000
Y  0.000  0.250  0.375
Ho  0.000  0.250  0.125
H  0.001  0.067  0.656

## Properties
The total energy is -4.797 eV per atom. The calculation puts the magnetic moment at 0.00 Bohr magnetons per cell.

2.
Material: LaTbMoN3
Method: DFT, PBE-GGA
State: relaxed

a b c (Å): 5.937 3.404 8.594
angles (deg): 90.00 103.62 90.00
Space group P2_1/m (No. 11)
Asymmetric unit:
La  0.137  0.250  0.188
Tb  0.267  0.750  0.553
Mo  0.391  0.250  0.878
N  0.075  0.250  0.675
N  0.261  0.750  0.981
N  0.456  0.750  0.323

## Properties
The total energy is -8.741 eV per atom. The calculation puts the magnetic moment at 0.00 Bohr magnetons per cell. For the energy relative to the elements, uncorrected, the calculation gives -1.18 eV per atom.

3.
Material: Sm16Dy7Y6
Method: DFT, PBE-GGA
State: relaxed

a b c (Å): 15.888 15.888 15.888
angles (deg): 90.00 90.00 90.00
Space group Fm-3m (No. 225)
Asymmetric unit:
Sm  0.124  0.124  0.124
Sm  0.152  0.152  0.348
Dy  0.000  0.000  0.000
Dy  0.000  0.250  0.250
Y  0.000  0.000  0.274

## Properties
The total energy is -4.843 eV per atom. The calculation puts the magnetic moment at 0.00 Bohr magnetons per cell. The formation energy from the elements comes out at 0.209 eV per atom.

4.
Material: GePRuCl2
Method: DFT, PBE-GGA
State: relaxed

a b c (Å): 4.751 4.751 5.026
angles (deg): 90.00 90.00 90.00
Space group P4/mmm (No. 123)
Asymmetric unit:
Ge  0.000  0.000  0.000
P  0.000  0.000  0.500
Ru  0.500  0.500  0.500
Cl  0.000  0.500  0.000

## Properties
The total energy is -3.693 eV per atom. The calculation puts the magnetic moment at 3.36 Bohr magnetons per cell. For the energy relative to the elements, uncorrected, the calculation gives 0.91 eV per atom.